A relaxed structure of YHoI2N, computed with PBE-GGA.

DFT total energy	-5.872	eV per atom

Geometry as CIF:
```
data_YHoI2N
_cell_length_a 3.7702
_cell_length_b 3.7702
_cell_length_c 10.7939
_cell_angle_alpha 90.00
_cell_angle_beta 90.00
_cell_angle_gamma 120.00
_space_group_name_H-M_alt 'P 3 m 1'
_space_group_IT_number 156
_space_group_name_Hall 'P 3 -2"'
loop_
_atom_site_label
_atom_site_type_symbol
_atom_site_fract_x
_atom_site_fract_y
_atom_site_fract_z
Y1 Y 0.0000 0.0000 0.0000
Ho1 Ho 0.6667 0.3333 0.7667
I1 I 0.0000 0.0000 0.5675
I2 I 0.6667 0.3333 0.2007
N1 N 0.3333 0.6667 0.8800
```